[1]
Here is crystalline Cd4Cu3 at its relaxed geometry from Alexandria. Energies are from PBE.

DFT formation energy: 47.4 meV/atom
ρ: 8.8 g cm⁻³
ΔE to the lowest computed polymorph: 0.000 eV/atom

CIF file:
```
data_Cd4Cu3
_space_group_name_H-M_alt 'P 1'
_space_group_IT_number 1
_cell_length_a 3.143
_cell_length_b 3.143
_cell_length_c 12.494
_cell_angle_alpha 82.77
_cell_angle_beta 82.77
_cell_angle_gamma 90.00
loop_
_space_group_symop_operation_xyz
'x,y,z'
loop_
_atom_site_label
_atom_site_fract_x
_atom_site_fract_y
_atom_site_fract_z
Cd1 0.158 0.158 0.685
Cd2 0.432 0.432 0.135
Cd3 0.568 0.568 0.865
Cd4 0.842 0.842 0.315
Cu1 0.000 0.000 0.000
Cu2 0.274 0.274 0.451
Cu3 0.726 0.726 0.549
```



[2]
Here is crystalline Li5B6C6 at its relaxed geometry from Alexandria. Energies are from PBE.

DFT formation energy: -289.3 meV/atom
ρ: 2.1 g cm⁻³
ΔE to the lowest computed polymorph: 0.000 eV/atom

CIF file:
```
data_Li5B6C6
_space_group_name_H-M_alt 'P 1'
_space_group_IT_number 1
_cell_length_a 7.649
_cell_length_b 7.649
_cell_length_c 7.649
_cell_angle_alpha 36.01
_cell_angle_beta 36.01
_cell_angle_gamma 36.01
loop_
_space_group_symop_operation_xyz
'x,y,z'
loop_
_atom_site_label
_atom_site_fract_x
_atom_site_fract_y
_atom_site_fract_z
C1 0.750 0.084 0.420
C2 0.916 0.580 0.250
C3 0.084 0.420 0.750
C4 0.250 0.916 0.580
C5 0.420 0.750 0.084
C6 0.580 0.250 0.916
B1 0.916 0.248 0.584
B2 0.752 0.416 0.084
B3 0.248 0.584 0.916
B4 0.084 0.752 0.416
B5 0.584 0.916 0.248
B6 0.416 0.084 0.752
Li1 0.167 0.167 0.167
Li2 0.333 0.333 0.333
Li3 0.500 0.500 0.500
Li4 0.667 0.667 0.667
Li5 0.833 0.833 0.833
```



[3]
Here is crystalline LiSc2Cd6 at its relaxed geometry from Alexandria. Energies are from PBE.

DFT formation energy: -216.2 meV/atom
ρ: 6.5 g cm⁻³
ΔE to the lowest computed polymorph: 0.000 eV/atom

CIF file:
```
data_LiSc2Cd6
_space_group_name_H-M_alt 'P 1'
_space_group_IT_number 1
_cell_length_a 3.162
_cell_length_b 8.455
_cell_length_c 8.455
_cell_angle_alpha 60.01
_cell_angle_beta 89.96
_cell_angle_gamma 89.96
loop_
_space_group_symop_operation_xyz
'x,y,z'
loop_
_atom_site_label
_atom_site_fract_x
_atom_site_fract_y
_atom_site_fract_z
Li1 0.000 0.000 0.000
Sc1 0.000 0.333 0.333
Sc2 0.000 0.667 0.667
Cd1 0.499 0.668 0.000
Cd2 0.501 0.000 0.332
Cd3 0.501 0.332 0.000
Cd4 0.500 0.668 0.332
Cd5 0.499 0.000 0.668
Cd6 0.500 0.332 0.668
```



[4]
Here is crystalline Cs2In4SbPb3 at its relaxed geometry from Alexandria. Energies are from PBE.

Raw formation energy: -128 meV/atom
ρ: 6.7 g cm⁻³

CIF file:
```
data_Cs2In4SbPb3
_space_group_name_H-M_alt 'P 1'
_space_group_IT_number 1
_cell_length_a 5.429
_cell_length_b 5.429
_cell_length_c 12.285
_cell_angle_alpha 90.00
_cell_angle_beta 90.00
_cell_angle_gamma 90.00
loop_
_space_group_symop_operation_xyz
'x,y,z'
loop_
_atom_site_label
_atom_site_fract_x
_atom_site_fract_y
_atom_site_fract_z
Cs1 0.500 0.000 0.253
Cs2 0.000 0.500 0.747
In1 0.500 0.500 0.000
In2 0.000 0.000 0.000
In3 0.500 0.000 0.623
In4 0.000 0.500 0.377
Sb1 0.500 0.500 0.500
Pb1 0.000 0.000 0.500
Pb2 0.500 0.000 0.872
Pb3 0.000 0.500 0.128
```



[5]
Here is crystalline AcPr5SmHo2 at its relaxed geometry from Alexandria. Energies are from PBE.

DFT formation energy: 142.0 meV/atom
ρ: 7.1 g cm⁻³

CIF file:
```
data_AcPr5SmHo2
_space_group_name_H-M_alt 'P 1'
_space_group_IT_number 1
_cell_length_a 5.634
_cell_length_b 12.589
_cell_length_c 9.593
_cell_angle_alpha 90.00
_cell_angle_beta 90.00
_cell_angle_gamma 102.93
loop_
_space_group_symop_operation_xyz
'x,y,z'
loop_
_atom_site_label
_atom_site_fract_x
_atom_site_fract_y
_atom_site_fract_z
Ac1 0.603 0.205 0.925
Ac2 0.397 0.795 0.425
Pr1 0.395 0.789 0.033
Pr2 0.741 0.482 0.858
Pr3 0.475 0.951 0.754
Pr4 0.311 0.622 0.725
Pr5 0.008 0.016 0.535
Pr6 0.605 0.211 0.533
Pr7 0.259 0.518 0.358
Pr8 0.525 0.049 0.254
Pr9 0.689 0.378 0.225
Pr10 0.992 0.984 0.035
Sm1 0.765 0.530 0.534
Sm2 0.235 0.470 0.034
Ho1 0.888 0.776 0.788
Ho2 0.173 0.347 0.672
Ho3 0.112 0.224 0.288
Ho4 0.827 0.653 0.172
```



[6]
Here is crystalline Li2Tb2PmIn5 at its relaxed geometry from Alexandria. Energies are from PBE.

DFT formation energy: -383.0 meV/atom
ρ: 7.3 g cm⁻³

CIF file:
```
data_Li2Tb2PmIn5
_space_group_name_H-M_alt 'P 1'
_space_group_IT_number 1
_cell_length_a 4.408
_cell_length_b 10.447
_cell_length_c 10.447
_cell_angle_alpha 90.00
_cell_angle_beta 90.00
_cell_angle_gamma 90.00
loop_
_space_group_symop_operation_xyz
'x,y,z'
loop_
_atom_site_label
_atom_site_fract_x
_atom_site_fract_y
_atom_site_fract_z
Li1 0.000 0.120 0.620
Li2 0.000 0.880 0.380
Li3 0.000 0.620 0.880
Li4 0.000 0.380 0.120
Tb1 0.000 0.674 0.174
Tb2 0.000 0.326 0.826
Tb3 0.000 0.174 0.326
Tb4 0.000 0.826 0.674
Pm1 0.000 0.000 0.000
Pm2 0.000 0.500 0.500
In1 0.500 0.215 0.075
In2 0.500 0.785 0.925
In3 0.500 0.075 0.785
In4 0.500 0.715 0.425
In5 0.500 0.925 0.215
In6 0.500 0.285 0.575
In7 0.500 0.575 0.715
In8 0.500 0.425 0.285
In9 0.500 0.500 0.000
In10 0.500 0.000 0.500
```